Rb2AgAsBr6 (SCAN, PBEsol geometry); raw formation energy = -1081 meV/atom
1.0
0.000 5.365 5.365
5.365 0.000 5.365
5.365 5.365 0.000
Rb Ag As Br
2 1 1 6
Direct
0.250 0.250 0.250
0.750 0.750 0.750
0.000 0.000 0.000
0.500 0.500 0.500
0.254 0.254 0.746
0.254 0.746 0.254
0.254 0.746 0.746
0.746 0.254 0.254
0.746 0.254 0.746
0.746 0.746 0.254

TaHg2Au (SCAN, PBEsol geometry); N(E_F) = 1.4 states/eV per cell; E above lowest polymorph = 0 meV/atom
1.0
2.993 0.000 0.000
0.000 2.993 0.000
0.000 0.000 8.385
Ta Hg Au
1 2 1
Direct
0.000 0.000 0.000
0.000 0.000 0.475
0.500 0.500 0.752
0.500 0.500 0.221

Cr2HgOs (SCAN, PBEsol geometry); N(E_F) = 2.3 states/eV per cell; DFT total energy = -175.1 eV/cell
1.0
-1.439 2.227 4.410
1.439 -2.227 4.410
1.439 2.227 -4.410
Cr Hg Os
2 1 1
Direct
0.000 0.000 0.000
0.793 0.293 0.500
0.271 0.771 0.500
0.556 0.556 0.000

MgFeIO2 (SCAN, PBEsol geometry); N(E_F) = 1.2 states/eV per cell; raw formation energy = -683 meV/atom
1.0
3.824 0.000 0.000
0.000 3.824 0.000
0.000 0.000 5.366
Mg Fe I O
1 1 1 2
Direct
0.000 0.000 0.000
0.500 0.500 0.500
0.500 0.500 0.000
0.000 0.500 0.500
0.500 0.000 0.500

SbH32C8N4Cl7 (SCAN, PBEsol geometry); N(E_F) = 0.0 states/eV per cell; DFT total energy = -686.1 eV/cell
1.0
10.137 0.000 0.000
0.000 13.467 0.000
0.000 0.000 8.456
Sb H C N Cl
2 64 16 8 14
Direct
0.000 0.000 0.084
0.500 0.500 0.916
0.017 0.377 0.816
0.057 0.372 0.097
0.057 0.692 0.225
0.069 0.758 0.967
0.069 0.904 0.635
0.098 0.571 0.152
0.133 0.554 0.853
0.139 0.666 0.738
0.149 0.764 0.469
0.159 0.019 0.629
0.173 0.442 0.527
0.178 0.935 0.382
0.190 0.272 0.442
0.208 0.282 0.653
0.211 0.694 0.007
0.229 0.913 0.726
0.271 0.413 0.274
0.289 0.194 0.993
0.292 0.782 0.347
0.310 0.772 0.558
0.322 0.435 0.618
0.327 0.942 0.473
0.341 0.519 0.371
0.351 0.264 0.531
0.361 0.166 0.262
0.367 0.054 0.147
0.402 0.071 0.848
0.431 0.258 0.033
0.431 0.404 0.365
0.443 0.192 0.775
0.443 0.872 0.903
0.483 0.877 0.184
0.517 0.123 0.184
0.557 0.128 0.903
0.557 0.808 0.775
0.569 0.596 0.365
0.569 0.742 0.033
0.598 0.929 0.848
0.633 0.946 0.147
0.639 0.834 0.262
0.649 0.736 0.531
0.659 0.481 0.371
0.673 0.058 0.473
0.678 0.565 0.618
0.690 0.228 0.558
0.708 0.218 0.347
0.711 0.806 0.993
0.729 0.587 0.274
0.771 0.087 0.726
0.789 0.306 0.007
0.792 0.718 0.653
0.810 0.728 0.442
0.822 0.065 0.382
0.827 0.558 0.527
0.841 0.981 0.629
0.851 0.236 0.469
0.861 0.334 0.738
0.867 0.446 0.853
0.902 0.429 0.152
0.931 0.096 0.635
0.931 0.242 0.967
0.943 0.308 0.225
0.943 0.628 0.097
0.983 0.623 0.816
0.048 0.641 0.124
0.089 0.629 0.838
0.168 0.938 0.627
0.247 0.799 0.462
0.253 0.299 0.538
0.332 0.438 0.373
0.411 0.129 0.162
0.452 0.141 0.876
0.548 0.859 0.876
0.589 0.871 0.162
0.668 0.562 0.373
0.747 0.701 0.538
0.753 0.201 0.462
0.832 0.062 0.627
0.911 0.371 0.838
0.952 0.359 0.124
0.110 0.687 0.984
0.231 0.908 0.477
0.269 0.408 0.523
0.390 0.187 0.016
0.610 0.813 0.016
0.731 0.592 0.523
0.769 0.092 0.477
0.890 0.313 0.984
0.000 0.500 0.482
0.077 0.112 0.312
0.098 0.149 0.889
0.227 0.904 0.084
0.273 0.404 0.916
0.402 0.649 0.111
0.423 0.612 0.688
0.500 0.000 0.518
0.577 0.388 0.688
0.598 0.351 0.111
0.727 0.596 0.916
0.773 0.096 0.084
0.902 0.851 0.889
0.923 0.888 0.312

NiAu3C (SCAN, PBEsol geometry); N(E_F) = 8.0 states/eV per cell; DFT total energy = -223.2 eV/cell
1.0
4.616 0.000 0.000
0.000 4.616 0.000
0.000 0.000 4.616
Ni Au C
1 3 1
Direct
0.000 0.000 0.000
0.000 0.000 0.500
0.000 0.500 0.000
0.500 0.000 0.000
0.500 0.500 0.500

Number 1: total moment 0.0 μB/cell. Number 2: total moment 0.0 μB/cell. Number 3: total moment 0.5 μB/cell. Number 4: total moment 4.1 μB/cell. Number 5: total moment 0.0 μB/cell. Number 6: total moment 2.1 μB/cell.